First-principles (PBE) data for crystalline AcPrAs2Pd2 at its relaxed geometry, as listed in the Alexandria database.

CIF file:
```
data_AcPrAs2Pd2
_cell_length_a 4.4457
_cell_length_b 4.4457
_cell_length_c 8.1509
_cell_angle_alpha 90.00
_cell_angle_beta 90.00
_cell_angle_gamma 120.00
_space_group_name_H-M_alt 'P -3 m 1'
_space_group_IT_number 164
_space_group_name_Hall '-P 3 2"'
loop_
_atom_site_label
_atom_site_fract_x
_atom_site_fract_y
_atom_site_fract_z
Ac1 0.0000 0.0000 0.0000
Pr1 0.0000 0.0000 0.5000
As1 0.3333 0.6667 0.2645
Pd1 0.3333 0.6667 0.7419
```

Total magnetic moment in μB per formula unit: 0.000
Calculated density in g cm⁻³: 8.7
Fermi-level density of states in states/eV/f.u.: 1.00
Total DFT energy (no corrections) in eV for the cell shown: -35.75

***

First-principles (PBE) data for crystalline Hg5Bi4 at its relaxed geometry, as listed in the Alexandria database.

CIF file:
```
data_Hg5Bi4
_cell_length_a 12.3350
_cell_length_b 12.3350
_cell_length_c 3.4877
_cell_angle_alpha 90.00
_cell_angle_beta 90.00
_cell_angle_gamma 90.00
_space_group_name_H-M_alt 'I 4/m m m'
_space_group_IT_number 139
_space_group_name_Hall '-I 4 2'
loop_
_atom_site_label
_atom_site_fract_x
_atom_site_fract_y
_atom_site_fract_z
Hg1 0.0000 0.0000 0.0000
Hg2 0.1654 0.1654 0.5000
Bi1 0.0000 0.3338 0.0000
```

Total magnetic moment in μB per formula unit: 0.000
Calculated density in g cm⁻³: 11.5
Fermi-level density of states in states/eV/f.u.: 4.13
Total DFT energy (no corrections) in eV for the cell shown: -32.55

***

First-principles (PBE) data for crystalline YW at its relaxed geometry, as listed in the Alexandria database.

CIF file:
```
data_YW
_cell_length_a 2.8569
_cell_length_b 12.0252
_cell_length_c 4.8352
_cell_angle_alpha 90.00
_cell_angle_beta 90.00
_cell_angle_gamma 90.00
_space_group_name_H-M_alt 'C m c m'
_space_group_IT_number 63
_space_group_name_Hall '-C 2c 2'
loop_
_atom_site_label
_atom_site_fract_x
_atom_site_fract_y
_atom_site_fract_z
Y1 0.0000 0.0658 0.2500
W1 0.0000 0.3025 0.2500
```

Total magnetic moment in μB per formula unit: 0.000
Calculated density in g cm⁻³: 10.9
Fermi-level density of states in states/eV/f.u.: 2.70
Relative energy among the computed polymorphs in meV per atom: 525

***

First-principles (PBE) data for crystalline SbIrI2O at its relaxed geometry, as listed in the Alexandria database.

CIF file:
```
data_SbIrI2O
_cell_length_a 5.9506
_cell_length_b 5.9506
_cell_length_c 3.9865
_cell_angle_alpha 90.00
_cell_angle_beta 90.00
_cell_angle_gamma 90.00
_space_group_name_H-M_alt 'P 4/m m m'
_space_group_IT_number 123
_space_group_name_Hall '-P 4 2'
loop_
_atom_site_label
_atom_site_fract_x
_atom_site_fract_y
_atom_site_fract_z
Sb1 0.0000 0.0000 0.0000
Ir1 0.5000 0.5000 0.5000
I1 0.0000 0.5000 0.0000
O1 0.0000 0.0000 0.5000
```

Total magnetic moment in μB per formula unit: 2.024
Calculated density in g cm⁻³: 6.9
Fermi-level density of states in states/eV/f.u.: 6.23
Relative energy among the computed polymorphs in meV per atom: 660
Formation energy from raw total energies in eV/atom: 0.774